Record 1
Entry from Alexandria via LeMat-Bulk: crystalline LaPmSnCl at its relaxed geometry (GGA-PBE).

abc: 7.648 7.648 7.648
angles: 90.00 90.00 90.00
Space group F-43m (No. 216)
Asymmetric unit:
La 0.000 0.000 0.000 x4
Pm 0.000 0.000 0.500 x4
Sn 0.250 0.250 0.250 x4
Cl 0.250 0.250 0.750 x4

**M_tot**: 0.00 μB per cell
**Formation energy from raw total energies**: -4.18 eV per formula unit

Record 2
Entry from Alexandria via LeMat-Bulk: crystalline Fe2Pd12Au5 at its relaxed geometry (GGA-PBE).

abc: 12.431 7.623 6.542
angles: 90.00 91.46 90.00
Space group C2/m (No. 12)
Asymmetric unit:
Fe 0.000 0.196 0.000 x4
Pd 0.050 0.000 0.315 x4
Pd 0.087 0.500 0.891 x4
Pd 0.123 0.202 0.664 x8
Pd 0.149 0.315 0.242 x8
Au 0.000 0.500 0.500 x2
Au 0.194 0.000 0.994 x4
Au 0.238 0.500 0.579 x4

**Energy relative to the elements**: 0.0103 eV per atom
**M_tot**: 18.26 μB per cell

Record 3
Entry from Alexandria via LeMat-Bulk: crystalline PRuW2 at its relaxed geometry (GGA-PBE).

abc: 3.683 3.683 4.337
angles: 90.00 90.00 90.00
Space group P4/mmm (No. 123)
Asymmetric unit:
P 0.000 0.000 0.000 x1
Ru 0.500 0.500 0.000 x1
W 0.000 0.500 0.500 x2

**Energy relative to the elements**: 0.3230 eV per atom
**M_tot**: 0.00 μB per cell

Record 4
Entry from Alexandria via LeMat-Bulk: crystalline AcPmDy2Hg4 at its relaxed geometry (GGA-PBE).

abc: 5.3880 5.3880 26.9930
angles: 90.00 90.00 120.00
Space group R-3m (No. 166, hexagonal axes)
Asymmetric unit:
Ac 0.0000 0.0000 0.0000 x3
Pm 0.0000 0.0000 0.5000 x3
Dy 0.0000 0.0000 0.2467 x6
Hg 0.0000 0.0000 0.1275 x6
Hg 0.0000 0.0000 0.3813 x6

**Energy relative to the elements**: -0.4465 eV per atom
**M_tot**: 2.73 μB per cell

Record 5
Entry from Alexandria via LeMat-Bulk: crystalline Sn2GeSb at its relaxed geometry (GGA-PBE).

abc: 4.1061 4.1061 22.1896
angles: 90.00 90.00 120.00
Space group R3m (No. 160, hexagonal axes)
Asymmetric unit:
Sn 0.0000 0.0000 0.0000 x3
Sn 0.0000 0.0000 0.1815 x3
Ge 0.0000 0.0000 0.5911 x3
Sb 0.0000 0.0000 0.4221 x3

**M_tot**: 0.00 μB per cell
**Formation energy from raw total energies**: 0.50 eV per formula unit

Per-record N(E_F), states/eV/f.u.: 2.3 12.3 2.8 8.8 1.9